## KNaCdTe (PBE)

Data for a relaxed structure of KNaCdTe.

Cell: 5.7150 5.7150 5.7150 Å, 60.00 60.00 60.00°
Closest atoms and distances in Å follow each position.
Positions (direct):
Cd: 0.0000 0.0000 0.0000  4 Na 3.50, 4 K 3.50
Te: 0.5000 0.5000 0.5000  4 K 3.50, 4 Na 3.50
Na: 0.7500 0.7500 0.7500  4 Te 3.50, 4 Cd 3.50
K: 0.2500 0.2500 0.2500  4 Cd 3.50, 4 Te 3.50

Properties
Symmetry: F-43m (216)
Uncorrected formation energy: -0.5489 eV/atom
Magnetization: 0.000 Bohr magnetons per cell

=====

## TmScS (PBE)

Data for a relaxed structure of TmScS.

Cell: 3.6452 3.6452 6.2225 Å, 72.97 72.97 60.00°
Closest atoms and distances in Å follow each position.
Positions (direct):
S: 0.3623 0.3623 0.9132  3 Sc 2.54, 3 Tm 2.68
Sc: 0.1098 0.1098 0.6705  3 S 2.54
Tm: 0.6014 0.6014 0.1957  3 S 2.68

Properties
Symmetry: R3m (160)
Distance to the lowest polymorph of the same formula: 6.1 meV/atom
Uncorrected formation energy: -1.2353 eV/atom
Magnetization: 0.000 Bohr magnetons per cell

=====

## Sc2VSn (PBE)

Data for a relaxed structure of Sc2VSn.

Cell: 3.9689 4.5571 4.5571 Å, 90.00 90.00 90.00°
Closest atoms and distances in Å follow each position.
Positions (direct):
Sc: 0.0000 0.5000 0.0000  4 V 3.02, 4 Sn 3.02, 4 Sc 3.22
Sc: 0.0000 0.0000 0.5000  4 V 3.02, 4 Sn 3.02, 4 Sc 3.22
V: 0.5000 0.5000 0.5000  8 Sc 3.02, 4 Sn 3.22
Sn: 0.5000 0.0000 0.0000  8 Sc 3.02, 4 V 3.22

Properties
Symmetry: P4/mmm (123)
Formation energy from the elements: -0.23 eV per atom
Magnetization: 2.667 Bohr magnetons per cell